The following is a DFT calculation (PBE) of Sm3Al4Ag2 after structural relaxation.

Results
Crystal system ... monoclinic
Mass density ... 6.29 g/cm³
Formation energy from the elements ... -0.429 eV/atom
SG ... No. 12

a = 4.659 Å, b = 5.952 Å, c = 8.774 Å
α = 112.00°, β = 90.00°, γ = 113.04°
Sites, in units of the cell vectors:
Sm 0.674 0.349 0.656
Sm 0.000 0.000 0.000
Sm 0.326 0.651 0.344
Al 0.738 0.477 0.074
Al 0.262 0.523 0.926
Al 0.974 0.947 0.635
Al 0.026 0.053 0.365
Ag 0.597 0.194 0.267
Ag 0.403 0.806 0.733

---

The following is a DFT calculation (PBE) of USO after structural relaxation.

Results
Crystal system ... orthorhombic
Mass density ... 7.78 g/cm³
Energy relative to the elements, uncorrected ... -1654 meV per atom
SG ... No. 63

a = 3.225 Å, b = 3.375 Å, c = 11.332 Å
α = 90.00°, β = 98.18°, γ = 90.00°
Sites, in units of the cell vectors:
U 0.410 0.750 0.321
U 0.590 0.250 0.679
S 0.177 0.250 0.855
S 0.823 0.750 0.145
O 0.939 0.250 0.378
O 0.061 0.750 0.622

---

The following is a DFT calculation (PBE) of Ac2ErAuSe5 after structural relaxation.

Results
Crystal system ... orthorhombic
Mass density ... 8.21 g/cm³
Energy relative to the elements, uncorrected ... -1647 meV per atom
SG ... No. 36

a = 4.261 Å, b = 9.303 Å, c = 12.712 Å
α = 90.00°, β = 90.00°, γ = 103.24°
Sites, in units of the cell vectors:
Ac 0.876 0.753 0.814
Ac 0.116 0.232 0.690
Ac 0.124 0.247 0.314
Ac 0.884 0.768 0.190
Er 0.810 0.621 0.510
Er 0.190 0.379 0.010
Au 0.557 0.114 0.953
Au 0.443 0.886 0.453
Se 0.350 0.701 0.004
Se 0.698 0.395 0.853
Se 0.499 0.998 0.768
Se 0.292 0.585 0.664
Se 0.957 0.914 0.568
Se 0.650 0.299 0.504
Se 0.302 0.605 0.353
Se 0.501 0.002 0.268
Se 0.708 0.415 0.164
Se 0.043 0.086 0.068

---

The following is a DFT calculation (PBE) of GaHgBiSb after structural relaxation.

Results
Crystal system ... cubic
Mass density ... 9.11 g/cm³
Energy relative to the elements, uncorrected ... 134 meV per atom
SG ... No. 216

a = 5.371 Å, b = 5.371 Å, c = 5.371 Å
α = 60.00°, β = 60.00°, γ = 60.00°
Sites, in units of the cell vectors:
Sb 0.250 0.250 0.250
Bi 0.500 0.500 0.500
Ga 0.000 0.000 0.000
Hg 0.750 0.750 0.750